The following is a DFT calculation (PBE-GGA) of a relaxed BaLa2SmTl4 crystal.

Cell: 5.6841 5.6841 28.0863 Å, 90.00 90.00 120.00°
Space group R-3m (No. 166, hexagonal axes)
Symmetry-distinct sites (fractional):
Ba 0.0000 0.0000 0.0000 (multiplicity 3)
La 0.0000 0.0000 0.2511 (multiplicity 6)
Sm 0.0000 0.0000 0.5000 (multiplicity 3)
Tl 0.0000 0.0000 0.1296 (multiplicity 6)
Tl 0.0000 0.0000 0.3834 (multiplicity 6)

ΔE_f	-0.36	eV/atom